PBE-GGA LaSbIrI2, optimized geometry; excess energy over the best structure of this formula in the dataset = 902 meV per atom; symmetry = P4/mmm (123); spin magnetization = 1.3 μB/f.u.; ΔE_f (raw) = 777 meV per atom
1.0
6.115 0.000 0.000
0.000 6.115 0.000
0.000 0.000 6.595
La Sb Ir I
1 1 1 2
Direct
0.000 0.000 0.000
0.000 0.000 0.500
0.500 0.500 0.500
0.000 0.500 0.000
0.500 0.000 0.000



PBE-GGA Nd6Hg5Rh, optimized geometry; energy relative to the elements = -0.5032 eV per atom; symmetry = Immm (71); spin magnetization = 0.0 μB/f.u.
1.0
-2.678 3.803 7.985
2.678 -3.803 7.985
2.678 3.803 -7.985
Nd Hg Rh
6 5 1
Direct
0.079 0.344 0.735
0.230 0.000 0.230
0.391 0.656 0.735
0.609 0.344 0.265
0.770 0.000 0.770
0.921 0.656 0.265
0.184 0.184 0.000
0.333 0.833 0.500
0.500 0.500 0.000
0.667 0.167 0.500
0.816 0.816 0.000
0.000 0.500 0.500



no.,DOS at the Fermi energy (states/eV/f.u.)
1,10.4
2,10.8